The following is a PBE-GGA calculation of a relaxed Zr4Tl crystal, from Alexandria via LeMat-Bulk.

Lattice parameters (Å, degrees): 7.2987 7.2987 4.3146 90.00 90.00 90.00
Closest atoms and distances in Å follow each position.
Space group I4/m (No. 87)
Inequivalent atoms, fractional coordinates:
Zr  0.1111  0.3078  0.0000 x8  9 Zr 3.08-3.38, 3 Tl 3.17-3.22
Tl  0.0000  0.0000  0.5000 x2  12 Zr 3.17-3.22

Calculated values
formation energy = -55.6 meV/atom
calculated volume = 229.8 Å³ per cell
mass density = 8.23 g/cm³
offset from the most stable computed form = 0.000 eV per atom